(1)
First-principles (PBE-GGA) data for a relaxed NaNbTeMo crystal, as listed in the Open Quantum Materials Database.

Properties
The raw total energy comes out at -5.977 eV/atom. The total magnetic moment comes out at 0.0 μB/cell.

Lattice parameters (Å, degrees): 6.6178 6.6178 6.6178 90.00 90.00 90.00
With the nearest neighbours (Å) after each atom.
Atoms (fractional coordinates):
Na  0.0000  0.0000  0.0000  4 Nb 2.87, 4 Te 2.87
Na  0.0000  0.5000  0.5000  4 Nb 2.87, 4 Te 2.87
Na  0.5000  0.0000  0.5000  4 Nb 2.87, 4 Te 2.87
Na  0.5000  0.5000  0.0000  4 Nb 2.87, 4 Te 2.87
Nb  0.2500  0.2500  0.2500  4 Mo 2.87, 4 Na 2.87
Nb  0.2500  0.7500  0.7500  4 Mo 2.87, 4 Na 2.87
Nb  0.7500  0.2500  0.7500  4 Mo 2.87, 4 Na 2.87
Nb  0.7500  0.7500  0.2500  4 Mo 2.87, 4 Na 2.87
Te  0.2500  0.2500  0.7500  4 Na 2.87, 4 Mo 2.87
Te  0.2500  0.7500  0.2500  4 Na 2.87, 4 Mo 2.87
Te  0.7500  0.2500  0.2500  4 Na 2.87, 4 Mo 2.87
Te  0.7500  0.7500  0.7500  4 Mo 2.87, 4 Na 2.87
Mo  0.0000  0.0000  0.5000  4 Te 2.87, 4 Nb 2.87
Mo  0.0000  0.5000  0.0000  4 Te 2.87, 4 Nb 2.87
Mo  0.5000  0.0000  0.0000  4 Te 2.87, 4 Nb 2.87
Mo  0.5000  0.5000  0.5000  4 Te 2.87, 4 Nb 2.87

***

(2)
First-principles (PBE-GGA) data for a relaxed Hf2AlZnNi2Ir2 crystal, as listed in the Open Quantum Materials Database.

Properties
The raw total energy comes out at -7.426 eV/atom. The total magnetic moment comes out at 0.0 μB/cell.

Lattice parameters (Å, degrees): 4.4025 4.4025 6.2094 90.00 90.00 90.00
With the nearest neighbours (Å) after each atom.
Atoms (fractional coordinates):
Hf  0.0000  0.0000  0.0000  4 Ni 2.70, 4 Ir 2.71
Hf  0.5000  0.5000  0.5000  4 Ir 2.67, 4 Ni 2.69
Al  0.0000  0.0000  0.5000  4 Ir 2.67, 4 Ni 2.69
Zn  0.5000  0.5000  0.0000  4 Ni 2.70, 4 Ir 2.71
Ni  0.0000  0.5000  0.2515  4 Hf 2.69-2.70, 2 Al 2.69, 2 Zn 2.70
Ni  0.5000  0.0000  0.7485  4 Hf 2.69-2.70, 2 Al 2.69, 2 Zn 2.70
Ir  0.0000  0.5000  0.7441  4 Hf 2.67-2.71, 2 Al 2.67, 2 Zn 2.71
Ir  0.5000  0.0000  0.2559  4 Hf 2.67-2.71, 2 Al 2.67, 2 Zn 2.71

***

(3)
First-principles (PBE-GGA) data for a relaxed NdTm2Mg3CdIn2 crystal, as listed in the Open Quantum Materials Database.

Properties
The raw total energy comes out at -3.100 eV/atom. The total magnetic moment comes out at 0.0 μB/cell.

Lattice parameters (Å, degrees): 4.6564 7.5790 7.5790 121.12 90.00 90.00
With the nearest neighbours (Å) after each atom.
Atoms (fractional coordinates):
Nd  0.0000  0.0000  0.0000  1 Cd 3.27, 4 In 3.28, 6 Mg 3.39-3.63
Tm  0.0000  0.4251  0.8524  1 Cd 3.19, 4 In 3.21, 2 Mg 3.45
Tm  0.0000  0.8524  0.4251  1 Cd 3.19, 4 In 3.21, 2 Mg 3.45
Mg  0.5000  0.1892  0.4276  2 In 2.91-2.94, 2 Cd 2.97, 2 Mg 3.12-3.15
Mg  0.5000  0.4276  0.1892  2 In 2.91-2.94, 2 Cd 2.97, 2 Mg 3.12-3.15
Mg  0.5000  0.6693  0.6693  2 Cd 2.90, 2 In 2.95, 2 Mg 3.12
Cd  0.0000  0.4383  0.4383  6 Mg 2.90-2.97, 2 Tm 3.19
In  0.5000  0.0954  0.7547  3 Mg 2.91-2.95, 4 Tm 3.21
In  0.5000  0.7547  0.0954  3 Mg 2.91-2.95, 4 Tm 3.21

***

(4)
First-principles (PBE-GGA) data for a relaxed TbHoW2C3 crystal, as listed in the Open Quantum Materials Database.

Properties
The raw total energy comes out at -9.314 eV/atom. The total magnetic moment comes out at 0.0 μB/cell.

Lattice parameters (Å, degrees): 11.8380 3.3229 5.7199 90.00 112.66 90.00
With the nearest neighbours (Å) after each atom.
Atoms (fractional coordinates):
Tb  0.0000  0.0000  0.0000  5 C 2.46-2.57
Tb  0.5000  0.5000  0.0000  5 C 2.46-2.57
Ho  0.2200  0.0000  0.6402  5 C 2.43-2.55
Ho  0.7200  0.5000  0.6402  5 C 2.43-2.55
W  0.2651  0.5000  0.1447  4 C 2.06-2.17
W  0.4538  0.0000  0.4924  4 C 2.05-2.17
W  0.7651  0.0000  0.1447  4 C 2.06-2.17
W  0.9538  0.5000  0.4924  4 C 2.05-2.17
C  0.1100  0.5000  0.8167  2 W 2.05-2.06
C  0.3583  0.5000  0.5533  3 W 2.11-2.17
C  0.3595  0.0000  0.0834  3 W 2.11-2.17
C  0.6100  0.0000  0.8167  2 W 2.05-2.06
C  0.8583  0.0000  0.5533  3 W 2.11-2.17
C  0.8595  0.5000  0.0834  3 W 2.11-2.17

***

(5)
First-principles (PBE-GGA) data for a relaxed HfCoBPd crystal, as listed in the Open Quantum Materials Database.

Properties
The raw total energy comes out at -7.141 eV/atom. The total magnetic moment comes out at 2.2 μB/cell.

Lattice parameters (Å, degrees): 5.9634 5.9634 5.9634 90.00 90.00 90.00
With the nearest neighbours (Å) after each atom.
Atoms (fractional coordinates):
Hf  0.0000  0.0000  0.0000  4 Pd 2.58, 4 Co 2.58
Hf  0.0000  0.5000  0.5000  4 Pd 2.58, 4 Co 2.58
Hf  0.5000  0.0000  0.5000  4 Pd 2.58, 4 Co 2.58
Hf  0.5000  0.5000  0.0000  4 Pd 2.58, 4 Co 2.58
Co  0.2500  0.2500  0.7500  4 Hf 2.58, 4 B 2.58
Co  0.2500  0.7500  0.2500  4 Hf 2.58, 4 B 2.58
Co  0.7500  0.2500  0.2500  4 Hf 2.58, 4 B 2.58
Co  0.7500  0.7500  0.7500  4 Hf 2.58, 4 B 2.58
B  0.0000  0.0000  0.5000  4 Co 2.58, 4 Pd 2.58
B  0.0000  0.5000  0.0000  4 Co 2.58, 4 Pd 2.58
B  0.5000  0.0000  0.0000  4 Co 2.58, 4 Pd 2.58
B  0.5000  0.5000  0.5000  4 Co 2.58, 4 Pd 2.58
Pd  0.2500  0.2500  0.2500  4 Hf 2.58, 4 B 2.58
Pd  0.2500  0.7500  0.7500  4 Hf 2.58, 4 B 2.58
Pd  0.7500  0.2500  0.7500  4 Hf 2.58, 4 B 2.58
Pd  0.7500  0.7500  0.2500  4 Hf 2.58, 4 B 2.58

***

(6)
First-principles (PBE-GGA) data for a relaxed Ga2NiPd2 crystal, as listed in the Open Quantum Materials Database.

Properties
The raw total energy comes out at -4.513 eV/atom. The total magnetic moment comes out at 0.0 μB/cell.

Lattice parameters (Å, degrees): 3.8630 3.8630 10.9903 90.00 90.00 90.00
With the nearest neighbours (Å) after each atom.
Atoms (fractional coordinates):
Ga  0.0000  0.0000  0.1072  1 Ga 2.36, 4 Pd 2.49
Ga  0.0000  0.0000  0.8928  1 Ga 2.36, 4 Pd 2.49
Ga  0.5000  0.5000  0.3928  1 Ga 2.36, 4 Pd 2.49
Ga  0.5000  0.5000  0.6072  1 Ga 2.36, 4 Pd 2.49
Ni  0.0000  0.0000  0.5000  8 Ga 2.98
Ni  0.5000  0.5000  0.0000  8 Ga 2.98
Pd  0.0000  0.5000  0.2500  4 Ga 2.49, 4 Pd 2.73
Pd  0.0000  0.5000  0.7500  4 Ga 2.49, 4 Pd 2.73
Pd  0.5000  0.0000  0.2500  4 Ga 2.49, 4 Pd 2.73
Pd  0.5000  0.0000  0.7500  4 Ga 2.49, 4 Pd 2.73

***

(7)
First-principles (PBE-GGA) data for a relaxed GdSiTc crystal, as listed in the Open Quantum Materials Database.

Properties
The raw total energy comes out at -5.803 eV/atom. The total magnetic moment comes out at 2.8 μB/cell.

Lattice parameters (Å, degrees): 6.5117 6.5117 6.5117 90.00 90.00 90.00
With the nearest neighbours (Å) after each atom.
Atoms (fractional coordinates):
Gd  0.0000  0.0000  0.0000  4 Tc 2.82, 4 Si 2.82
Gd  0.0000  0.5000  0.5000  4 Tc 2.82, 4 Si 2.82
Gd  0.5000  0.0000  0.5000  4 Tc 2.82, 4 Si 2.82
Gd  0.5000  0.5000  0.0000  4 Tc 2.82, 4 Si 2.82
Si  0.2500  0.2500  0.7500  4 Gd 2.82
Si  0.2500  0.7500  0.2500  4 Gd 2.82
Si  0.7500  0.2500  0.2500  4 Gd 2.82
Si  0.7500  0.7500  0.7500  4 Gd 2.82
Tc  0.2500  0.2500  0.2500  4 Gd 2.82
Tc  0.2500  0.7500  0.7500  4 Gd 2.82
Tc  0.7500  0.2500  0.7500  4 Gd 2.82
Tc  0.7500  0.7500  0.2500  4 Gd 2.82

***

(8)
First-principles (PBE-GGA) data for a relaxed TbHfCCl2 crystal, as listed in the Open Quantum Materials Database.

Properties
The raw total energy comes out at -6.974 eV/atom. The total magnetic moment comes out at 0.0 μB/cell.

Lattice parameters (Å, degrees): 3.5161 3.5161 9.6312 90.00 90.00 120.00
With the nearest neighbours (Å) after each atom.
Atoms (fractional coordinates):
Tb  0.0000  0.0000  0.0000  3 C 2.53, 3 Cl 2.75
Hf  0.3333  0.6667  0.7323  3 C 2.30
C  0.6667  0.3333  0.8437  3 Hf 2.30, 3 Tb 2.53
Cl  0.0000  0.0000  0.5517  3 Hf 2.67
Cl  0.3333  0.6667  0.1919  3 Tb 2.75